Model 1:
Computed, not measured: Nd4Ge2H after structural relaxation at the PBE level of DFT.

Cell lengths 4.5865, 4.5865, 8.9227 Å; angles 104.89, 104.89, 90.00 degrees
Closest atoms and distances in Å follow each position.
Positions (direct):
H1 0.0000 0.0000 0.0000  4 Nd 2.29
Ge1 0.6350 0.6350 0.2700  9 Nd 3.04-3.34
Ge2 0.3650 0.3650 0.7300  9 Nd 3.04-3.34
Nd1 0.8176 0.8176 0.6353  1 H 3.03, 5 Ge 3.04-3.34
Nd2 0.1824 0.1824 0.3647  1 H 3.03, 5 Ge 3.04-3.34
Nd3 0.0000 0.5000 0.0000  2 H 2.29
Nd4 0.5000 0.0000 0.0000  2 H 2.29

Summary:
DOS at the Fermi energy   0.87 states/eV per atom


Model 2:
Computed, not measured: Nd4Ge2H after structural relaxation at the PBE level of DFT.

Cell lengths 6.5548, 6.5772, 8.7955 Å; angles 90.00, 109.29, 90.00 degrees
Closest atoms and distances in Å follow each position.
Positions (direct):
Nd1 0.5114 0.4994 0.2644  1 H 2.31
Nd2 0.0918 0.7500 0.9107  1 H 2.32
Nd3 0.9082 0.2500 0.0893  1 H 2.32
Nd4 0.5114 0.0006 0.2644  1 H 2.31
Nd5 0.9304 0.2500 0.6215  1 H 2.34
Nd6 0.4886 0.9994 0.7356  1 H 2.31
Nd7 0.4886 0.5006 0.7356  1 H 2.31
Nd8 0.0696 0.7500 0.3785  1 H 2.34
Ge1 0.7163 0.7500 0.0491  6 Nd 3.05-3.13, 1 H 3.30
Ge2 0.2837 0.2500 0.9509  6 Nd 3.05-3.13, 1 H 3.30
Ge3 0.2343 0.2500 0.4281  6 Nd 3.02-3.14
Ge4 0.7657 0.7500 0.5719  6 Nd 3.02-3.14
H1 0.2494 0.7500 0.1887  4 Nd 2.31-2.34
H2 0.7506 0.2500 0.8113  4 Nd 2.31-2.34

Summary:
DOS at the Fermi energy   0.78 states/eV per atom


Relative to the most stable one, in eV/atom, the structures come out at model 1 0.010; model 2 0.000.